DFT (GGA-PBE) results for a geometry-optimized Rb2In2SnS6 structure.

Unit cell a=6.658 b=6.658 c=8.243 alpha=98.04 beta=98.04 gamma=119.90
Fractional positions:
S 0.936 0.611 0.316
S 0.737 0.737 0.681
In 0.332 0.668 0.500
S 0.064 0.389 0.684
S 0.611 0.936 0.316
In 0.668 0.332 0.500
Sn 0.000 0.000 0.500
S 0.263 0.263 0.319
Rb 0.168 0.832 0.000
Rb 0.832 0.168 0.000
S 0.389 0.064 0.684

Results
Symmetry: C2/m (12)
Density (g/cm3): 3.9
Formation energy without anion corrections (eV per atom): -0.774

DFT (GGA-PBE) results for a geometry-optimized Y6AgTe3 structure.

Unit cell a=4.089 b=11.132 c=13.327 alpha=105.32 beta=90.00 gamma=90.00
Last column: magnetic moment on the atom in μB.
Fractional positions:
Y 0.750 0.106 0.449  0.10
Y 0.250 0.564 0.891  -0.01
Te 0.250 0.851 0.932  0.00
Ag 0.250 0.961 0.295  0.00
Te 0.750 0.149 0.068  0.00
Y 0.750 0.472 0.651  0.01
Y 0.750 0.775 0.330  0.04
Y 0.250 0.225 0.670  0.04
Te 0.750 0.670 0.524  0.00
Y 0.250 0.207 0.237  0.00
Y 0.250 0.123 0.898  -0.02
Y 0.750 0.877 0.102  -0.02
Ag 0.750 0.039 0.705  0.00
Te 0.250 0.330 0.476  0.00
Y 0.250 0.528 0.349  0.01
Te 0.750 0.342 0.855  0.00
Y 0.250 0.894 0.551  0.10
Y 0.750 0.436 0.109  -0.01
Y 0.750 0.793 0.763  0.00
Te 0.250 0.658 0.145  0.00

Results
Symmetry: P2_1/m (11)
Density (g/cm3): 5.8
Formation energy without anion corrections (eV per atom): -0.786

DFT (GGA-PBE) results for a geometry-optimized UAlPb2S6 structure.

Unit cell a=6.752 b=7.054 c=9.739 alpha=90.00 beta=89.41 gamma=90.00
Last column: magnetic moment on the atom in μB.
Fractional positions:
S 0.188 0.210 0.455  -0.03
Al 0.000 0.500 0.500  0.00
S 0.596 0.017 0.240  -0.03
S 0.904 0.517 0.260  -0.03
Al 0.500 0.000 0.000  0.00
Pb 0.521 0.570 0.754  0.00
S 0.404 0.983 0.760  -0.03
S 0.793 0.807 0.950  -0.03
Pb 0.021 0.930 0.254  0.00
S 0.207 0.193 0.050  -0.03
U 0.500 0.000 0.500  1.22
S 0.688 0.290 0.955  -0.03
S 0.293 0.693 0.450  -0.03
Pb 0.979 0.070 0.746  0.00
Pb 0.479 0.430 0.246  0.00
S 0.812 0.790 0.545  -0.03
S 0.312 0.710 0.045  -0.03
S 0.096 0.483 0.740  -0.03
S 0.707 0.307 0.550  -0.03
U 0.000 0.500 0.000  1.22

Results
Symmetry: P2_1/c (14)
Density (g/cm3): 6.2
Formation energy without anion corrections (eV per atom): -0.874

DFT (GGA-PBE) results for a geometry-optimized ScMnCuCl2 structure.

Unit cell a=4.497 b=5.533 c=4.497 alpha=90.00 beta=90.00 gamma=90.00
Last column: magnetic moment on the atom in μB.
Fractional positions:
Cu 0.500 0.500 0.500  0.02
Cl 0.500 0.000 0.000  0.09
Sc 0.000 0.500 0.000  -0.47
Mn 0.000 0.000 0.000  3.00
Cl 0.000 0.000 0.500  0.02

Results
Symmetry: P4/mmm (123)
Density (g/cm3): 3.5
Formation energy without anion corrections (eV per atom): 0.098